[1]
Density functional theory data (PBE-GGA) for an optimized crystal structure of Tb3ThTl4Te8.

Cell lengths 8.8850, 8.8850, 24.8414 Å; angles 90.00, 90.00, 120.00 degrees
Closest atoms and distances in Å follow each position.
Space group R-3m (No. 166, hexagonal axes)
Symmetry-distinct sites (fractional):
Tb 0.0000 0.5000 0.0000 x9  6 Te 3.12-3.13
Th 0.0000 0.0000 0.0000 x3  6 Te 3.15
Tl 0.0000 0.0000 0.5000 x3  6 Te 3.45
Tl 0.0000 0.5000 0.5000 x9  6 Te 3.48-3.49
Te 0.0000 0.0000 0.2617 x6  3 Tb 3.12, 3 Tl 3.49
Te 0.0027 0.5014 0.2606 x18  2 Tb 3.13, 1 Th 3.15, 3 Tl 3.45-3.48

Values from the calculation:
ΔE_f (raw) = -1.00 eV per atom
ρ = 7472 kg/m³

=====

[2]
Density functional theory data (PBE-GGA) for an optimized crystal structure of TbTh2Tl3Te6.

Cell lengths 7.6181, 13.1870, 8.8653 Å; angles 90.00, 106.63, 90.00 degrees
Closest atoms and distances in Å follow each position.
Space group C2/m (No. 12)
Symmetry-distinct sites (fractional):
Tb 0.0000 0.0000 0.0000 x2  6 Te 3.14
Th 0.0000 0.3340 0.0000 x4  6 Te 3.17-3.18
Tl 0.0000 0.1677 0.5000 x4  6 Te 3.46-3.48
Tl 0.0000 0.5000 0.5000 x2  6 Te 3.46-3.48
Te 0.2384 0.1650 0.2216 x8  1 Tb 3.14, 2 Th 3.17-3.18, 3 Tl 3.46-3.48
Te 0.2454 0.5000 0.2234 x4  1 Tb 3.14, 2 Th 3.18, 3 Tl 3.46-3.48

Values from the calculation:
ΔE_f (raw) = -0.90 eV per atom
ρ = 7790 kg/m³